(1)
CaMgCu | Alexandria | GGA-PBE | optimized geometry; theoretical density = 2.9 Mg/m³; energy = -2.595 eV/atom; space-group type = No. 26; crystal system = orthorhombic
1.0
3.7935 0.0000 0.0000
0.0000 10.0643 0.0000
0.0000 0.0000 7.5984
Ca Mg Cu
4 4 4
Direct
0.0000 0.0546 0.0000 Ca
0.0000 0.3751 0.6015 Ca
0.0000 0.6249 0.1015 Ca
0.0000 0.9454 0.5000 Ca
0.5000 0.1769 0.3331 Mg
0.5000 0.3359 0.9743 Mg
0.5000 0.6641 0.4743 Mg
0.5000 0.8231 0.8331 Mg
0.5000 0.1311 0.7036 Cu
0.5000 0.4375 0.2966 Cu
0.5000 0.5625 0.7966 Cu
0.5000 0.8689 0.2036 Cu

=====

(2)
Ca3Mg2Cu2 | Alexandria | GGA-PBE | optimized geometry; excess energy over the best structure of this formula in the dataset = 1.11 kcal/mol of atoms; theoretical density = 2.7 Mg/m³; energy = -2.451 eV/atom; space-group type = No. 65; crystal system = orthorhombic
1.0
3.4623 0.0000 0.0000
0.0000 30.7016 0.0000
0.0000 0.0000 3.4587
Ca Mg Cu
6 4 4
Direct
0.0000 0.0000 0.0000 Ca
0.0000 0.3956 0.5000 Ca
0.0000 0.6044 0.5000 Ca
0.5000 0.1044 0.5000 Ca
0.5000 0.5000 0.0000 Ca
0.5000 0.8956 0.5000 Ca
0.0000 0.2924 0.5000 Mg
0.0000 0.7076 0.5000 Mg
0.5000 0.2076 0.5000 Mg
0.5000 0.7924 0.5000 Mg
0.0000 0.1647 0.0000 Cu
0.0000 0.8353 0.0000 Cu
0.5000 0.3353 0.0000 Cu
0.5000 0.6647 0.0000 Cu

=====

(3)
CaMgCu | Alexandria | GGA-PBE | optimized geometry; theoretical density = 3.0 Mg/m³; energy = -2.489 eV/atom; space-group type = No. 26; crystal system = orthorhombic
1.0
3.1779 0.0000 0.0000
0.0000 11.3127 0.0000
0.0000 0.0000 7.8082
Ca Mg Cu
4 4 4
Direct
0.0000 0.0751 0.0000 Ca
0.0000 0.3404 0.2466 Ca
0.0000 0.6596 0.7466 Ca
0.0000 0.9249 0.5000 Ca
0.0000 0.2080 0.5967 Mg
0.0000 0.3972 0.8534 Mg
0.0000 0.6028 0.3534 Mg
0.0000 0.7920 0.0967 Mg
0.5000 0.1237 0.3309 Cu
0.5000 0.4428 0.5618 Cu
0.5000 0.5572 0.0618 Cu
0.5000 0.8763 0.8309 Cu

=====

(4)
Ca3Mg2Cu2 | Alexandria | GGA-PBE | optimized geometry; excess energy over the best structure of this formula in the dataset = 0.00 kcal/mol of atoms; theoretical density = 2.6 Mg/m³; energy = -2.499 eV/atom; space-group type = No. 12; crystal system = monoclinic
1.0
8.6694 -1.9222 0.0000
8.6694 1.9222 0.0000
-2.7431 0.0000 11.1464
Ca Mg Cu
6 4 4
Direct
0.0736 0.0736 0.4208 Ca
0.2989 0.2989 0.1296 Ca
0.3804 0.3804 0.8344 Ca
0.6196 0.6196 0.1656 Ca
0.7011 0.7011 0.8704 Ca
0.9264 0.9264 0.5792 Ca
0.0475 0.0475 0.8909 Mg
0.2724 0.2724 0.3970 Mg
0.7276 0.7276 0.6030 Mg
0.9525 0.9525 0.1091 Mg
0.1267 0.1267 0.6831 Cu
0.4568 0.4568 0.2862 Cu
0.5432 0.5432 0.7138 Cu
0.8733 0.8733 0.3169 Cu

=====

(5)
CaMg2Cu | Alexandria | GGA-PBE | optimized geometry; theoretical density = 2.7 Mg/m³; energy = -2.283 eV/atom; space-group type = No. 10; crystal system = monoclinic
1.0
3.6198 0.0000 0.0000
0.0000 4.6208 0.0000
-1.5495 0.0000 5.6956
Ca Mg Cu
1 2 1
Direct
0.0000 0.0000 0.0000 Ca
0.3533 0.5000 0.7103 Mg
0.6467 0.5000 0.2897 Mg
0.5000 0.0000 0.5000 Cu

=====

(6)
CaMgCu | Alexandria | GGA-PBE | optimized geometry; theoretical density = 3.0 Mg/m³; energy = -2.677 eV/atom; space-group type = No. 129; crystal system = tetragonal
1.0
4.2863 0.0000 0.0000
0.0000 4.2863 0.0000
0.0000 0.0000 7.6492
Ca Mg Cu
2 2 2
Direct
0.2500 0.2500 0.1472 Ca
0.7500 0.7500 0.8528 Ca
0.2500 0.7500 0.5000 Mg
0.7500 0.2500 0.5000 Mg
0.2500 0.2500 0.7287 Cu
0.7500 0.7500 0.2713 Cu

=====

(7)
CaMgCu | Alexandria | GGA-PBE | optimized geometry; theoretical density = 3.2 Mg/m³; energy = -2.272 eV/atom; space-group type = No. 187; crystal system = hexagonal
1.0
5.0460 0.0000 0.0000
-2.5230 4.3699 0.0000
0.0000 0.0000 2.9699
Ca Mg Cu
1 1 1
Direct
0.0000 0.0000 0.0000 Ca
0.6667 0.3333 0.0000 Mg
0.3333 0.6667 0.5000 Cu

=====

(8)
CaMgCu | Alexandria | GGA-PBE | optimized geometry; theoretical density = 2.8 Mg/m³; energy = -2.586 eV/atom; space-group type = No. 12; crystal system = monoclinic
1.0
6.5668 0.0000 0.0000
0.0000 6.5160 0.0000
-2.9038 0.0000 6.9695
Ca Mg Cu
4 4 4
Direct
0.1316 0.0000 0.2940 Ca
0.3684 0.5000 0.7060 Ca
0.6316 0.5000 0.2940 Ca
0.8684 0.0000 0.7060 Ca
0.0933 0.5000 0.2094 Mg
0.4067 0.0000 0.7906 Mg
0.5933 0.0000 0.2094 Mg
0.9067 0.5000 0.7906 Mg
0.2500 0.2500 0.0000 Cu
0.2500 0.7500 0.0000 Cu
0.7500 0.2500 0.0000 Cu
0.7500 0.7500 0.0000 Cu

=====

(9)
Ca2Mg3Cu | Alexandria | GGA-PBE | optimized geometry; excess energy over the best structure of this formula in the dataset = 4.90 kcal/mol of atoms; theoretical density = 2.4 Mg/m³; energy = -2.026 eV/atom; space-group type = No. 194; crystal system = hexagonal
1.0
5.2770 0.0000 0.0000
-2.6385 4.5700 0.0000
0.0000 0.0000 12.6190
Ca Mg Cu
4 6 2
Direct
0.3333 0.6667 0.1171 Ca
0.3333 0.6667 0.3829 Ca
0.6667 0.3333 0.6171 Ca
0.6667 0.3333 0.8829 Ca
0.0000 0.0000 0.0000 Mg
0.0000 0.0000 0.5000 Mg
0.3333 0.6667 0.6405 Mg
0.3333 0.6667 0.8595 Mg
0.6667 0.3333 0.1405 Mg
0.6667 0.3333 0.3595 Mg
0.0000 0.0000 0.2500 Cu
0.0000 0.0000 0.7500 Cu

=====

(10)
Ca2Mg3Cu | Alexandria | GGA-PBE | optimized geometry; excess energy over the best structure of this formula in the dataset = 7.14 kcal/mol of atoms; theoretical density = 2.3 Mg/m³; energy = -1.929 eV/atom; space-group type = No. 63; crystal system = orthorhombic
1.0
3.1917 -7.8686 0.0000
3.1917 7.8686 0.0000
0.0000 0.0000 6.3494
Ca Mg Cu
4 6 2
Direct
0.2429 0.2429 0.0000 Ca
0.2429 0.2429 0.5000 Ca
0.7571 0.7571 0.0000 Ca
0.7571 0.7571 0.5000 Ca
0.0672 0.4533 0.2500 Mg
0.3484 0.6516 0.7500 Mg
0.4533 0.0672 0.7500 Mg
0.5467 0.9328 0.2500 Mg
0.6516 0.3484 0.2500 Mg
0.9328 0.5467 0.7500 Mg
0.1420 0.8580 0.2500 Cu
0.8580 0.1420 0.7500 Cu

=====

(11)
CaMgCu10 | Alexandria | GGA-PBE | optimized geometry; theoretical density = 6.6 Mg/m³; energy = -3.788 eV/atom; space-group type = No. 47; crystal system = orthorhombic
1.0
4.0827 0.0000 0.0000
0.0000 4.9926 0.0000
0.0000 0.0000 8.6436
Ca Mg Cu
1 1 10
Direct
0.0000 0.0000 0.0000 Ca
0.0000 0.5000 0.5000 Mg
0.0000 0.0000 0.3434 Cu
0.0000 0.0000 0.6566 Cu
0.0000 0.5000 0.1803 Cu
0.0000 0.5000 0.8197 Cu
0.5000 0.0000 0.5000 Cu
0.5000 0.2517 0.2546 Cu
0.5000 0.2517 0.7454 Cu
0.5000 0.5000 0.0000 Cu
0.5000 0.7483 0.2546 Cu
0.5000 0.7483 0.7454 Cu

=====

(12)
CaMgCu | Alexandria | GGA-PBE | optimized geometry; theoretical density = 2.8 Mg/m³; energy = -2.586 eV/atom; space-group type = No. 198; crystal system = cubic
1.0
6.7473 0.0000 0.0000
0.0000 6.7473 0.0000
0.0000 0.0000 6.7473
Ca Mg Cu
4 4 4
Direct
0.0859 0.0859 0.0859 Ca
0.4141 0.9141 0.5859 Ca
0.5859 0.4141 0.9141 Ca
0.9141 0.5859 0.4141 Ca
0.0908 0.5908 0.9092 Mg
0.4092 0.4092 0.4092 Mg
0.5908 0.9092 0.0908 Mg
0.9092 0.0908 0.5908 Mg
0.2078 0.2922 0.7078 Cu
0.2922 0.7078 0.2078 Cu
0.7078 0.2078 0.2922 Cu
0.7922 0.7922 0.7922 Cu

=====

| no. | energy of formation from the pure elements (kJ per mole of atoms) |
| --- | --- |
| 1 | -3 |
| 2 | 3 |
| 3 | 7 |
| 4 | -1 |
| 5 | 4 |
| 6 | -11 |
| 7 | 28 |
| 8 | -2 |
| 9 | 12 |
| 10 | 21 |
| 11 | -7 |
| 12 | -2 |